Entry from Alexandria via LeMat-Bulk: a geometry-optimized Ca2PmO3 structure (PBE).

Lattice parameters (Å, degrees): 3.440 4.893 10.456 90.00 90.00 90.00
Space group Immm (No. 71)
Asymmetric unit:
Ca: 0.000 0.000 0.168 x4
Pm: 0.000 0.000 0.500 x2
O: 0.000 0.500 0.170 x4
O: 0.000 0.500 0.500 x2

* density: 5.16 g cm⁻³
* E_form (uncorrected): -2841 meV/atom

Entry from Alexandria via LeMat-Bulk: a geometry-optimized La6Sb3N structure (PBE).

Lattice parameters (Å, degrees): 6.802 8.459 12.699 90.00 121.77 90.00
Space group P2_1/c (No. 14)
Asymmetric unit:
La: 0.096 0.040 0.225 x4
La: 0.177 0.722 0.051 x4
La: 0.378 0.158 0.048 x4
Sb: 0.321 0.109 0.746 x4
Sb: 0.500 0.000 0.500 x2
N: 0.000 0.000 0.000 x2

* density: 6.48 g cm⁻³
* E_form (uncorrected): -979 meV/atom

Entry from Alexandria via LeMat-Bulk: a geometry-optimized La2Tm4Tl structure (PBE).

Lattice parameters (Å, degrees): 6.001 6.614 11.385 90.00 103.93 90.00
Space group P2_1/m (No. 11)
Asymmetric unit:
La: 0.070 0.250 0.478 x2
La: 0.346 0.750 0.069 x2
Tm: 0.154 0.008 0.787 x4
Tm: 0.201 0.250 0.068 x2
Tm: 0.370 0.750 0.371 x2
Tl: 0.494 0.250 0.336 x2

* density: 8.77 g cm⁻³

Entry from Alexandria via LeMat-Bulk: a geometry-optimized Si3AgH structure (PBE).

Lattice parameters (Å, degrees): 4.088 4.088 4.088 90.00 90.00 90.00
Space group Pm-3m (No. 221)
Asymmetric unit:
Si: 0.000 0.000 0.500 x3
Ag: 0.500 0.500 0.500 x1
H: 0.000 0.000 0.000 x1

* density: 4.69 g cm⁻³

Entry from Alexandria via LeMat-Bulk: a geometry-optimized CrTc3Ru structure (PBE).

Lattice parameters (Å, degrees): 4.347 4.347 4.347 90.00 90.00 90.00
Space group Pm-3m (No. 221)
Asymmetric unit:
Cr: 0.000 0.000 0.000 x1
Tc: 0.000 0.000 0.500 x3
Ru: 0.500 0.500 0.500 x1

* density: 9.04 g cm⁻³

Entry from Alexandria via LeMat-Bulk: a geometry-optimized CoSbTe2 structure (PBE).

Lattice parameters (Å, degrees): 7.209 7.209 7.209 90.00 90.00 90.00
Space group F-43m (No. 216)
Asymmetric unit:
Co: 0.000 0.000 0.000 x4
Sb: 0.250 0.250 0.750 x4
Te: 0.000 0.000 0.500 x4
Te: 0.250 0.250 0.250 x4

* density: 7.73 g cm⁻³
* E_form (uncorrected): 660 meV/atom

Entry from Alexandria via LeMat-Bulk: a geometry-optimized NdSmSc structure (PBE).

Lattice parameters (Å, degrees): 5.5655 5.5655 3.4439 90.00 90.00 120.00
Space group P3m1 (No. 156)
Asymmetric unit:
Nd: 0.0000 0.0000 0.0000 x1
Sm: 0.3333 0.6667 0.4995 x1
Sc: 0.6667 0.3333 0.5012 x1

* density: 6.10 g cm⁻³

Entry from Alexandria via LeMat-Bulk: a geometry-optimized PrNdTlAg structure (PBE).

Lattice parameters (Å, degrees): 7.708 7.708 7.708 90.00 90.00 90.00
Space group F-43m (No. 216)
Asymmetric unit:
Pr: 0.000 0.000 0.000 x4
Nd: 0.000 0.000 0.500 x4
Tl: 0.250 0.250 0.750 x4
Ag: 0.250 0.250 0.250 x4

* density: 8.66 g cm⁻³

Entry from Alexandria via LeMat-Bulk: a geometry-optimized Ni8PdPt2 structure (PBE).

Lattice parameters (Å, degrees): 12.188 4.777 5.089 90.00 107.13 90.00
Space group C2/m (No. 12)
Asymmetric unit:
Ni: 0.051 0.000 0.235 x4
Ni: 0.099 0.257 0.646 x8
Ni: 0.219 0.500 0.372 x4
Pd: 0.000 0.500 0.000 x2
Pt: 0.220 0.000 0.087 x4

* density: 11.33 g cm⁻³

Entry from Alexandria via LeMat-Bulk: a geometry-optimized NbGeRu structure (PBE).

Lattice parameters (Å, degrees): 3.620 3.906 6.859 90.00 90.00 90.00
Space group Pmm2 (No. 25)
Asymmetric unit:
Nb: 0.000 0.000 0.000 x1
Nb: 0.000 0.500 0.340 x1
Ge: 0.000 0.500 0.714 x1
Ge: 0.500 0.000 0.308 x1
Ru: 0.500 0.000 0.687 x1
Ru: 0.500 0.500 0.998 x1

* density: 9.13 g cm⁻³

Entry from Alexandria via LeMat-Bulk: a geometry-optimized BaCaInSb2 structure (PBE).

Lattice parameters (Å, degrees): 6.993 15.264 6.597 90.00 90.00 90.00
Space group Cmme (No. 67)
Asymmetric unit:
Ba: 0.000 0.250 0.224 x4
Ca: 0.250 0.000 0.500 x4
In: 0.000 0.000 0.000 x4
Sb: 0.000 0.147 0.727 x8

* density: 5.05 g cm⁻³
* E_form (uncorrected): -618 meV/atom

Entry from Alexandria via LeMat-Bulk: a geometry-optimized Np3VAg3Se8 structure (PBE).

Lattice parameters (Å, degrees): 13.858 8.146 8.048 90.00 124.40 90.00
Space group C2/m (No. 12)
Asymmetric unit:
Np: 0.000 0.000 0.000 x2
Np: 0.250 0.250 0.500 x4
V: 0.000 0.500 0.000 x2
Ag: 0.000 0.500 0.500 x2
Ag: 0.250 0.250 0.000 x4
Se: 0.000 0.267 0.232 x8
Se: 0.233 0.500 0.234 x4
Se: 0.249 0.000 0.251 x4

* density: 7.61 g cm⁻³
* E_form (uncorrected): -693 meV/atom

Entry from Alexandria via LeMat-Bulk: a geometry-optimized LiCeDy2 structure (PBE).

Lattice parameters (Å, degrees): 5.576 5.576 3.585 90.00 90.00 90.00
Space group P4/mmm (No. 123)
Asymmetric unit:
Li: 0.000 0.000 0.000 x1
Ce: 0.500 0.500 0.000 x1
Dy: 0.000 0.500 0.500 x2

* density: 7.03 g cm⁻³

Entry from Alexandria via LeMat-Bulk: a geometry-optimized PmPtC2O8 structure (PBE).

Lattice parameters (Å, degrees): 7.543 4.892 7.166 90.00 94.61 90.00
Space group C2/m (No. 12)
Asymmetric unit:
Pm: 0.000 0.000 0.000 x2
Pt: 0.000 0.000 0.500 x2
C: 0.135 0.500 0.284 x4
O: 0.023 0.263 0.286 x8
O: 0.204 0.500 0.115 x4
O: 0.240 0.500 0.451 x4

* density: 6.20 g cm⁻³
* E_form (uncorrected): -1332 meV/atom

Entry from Alexandria via LeMat-Bulk: a geometry-optimized TePt3F structure (PBE).

Lattice parameters (Å, degrees): 4.981 4.981 4.981 90.00 90.00 90.00
Space group Pm-3m (No. 221)
Asymmetric unit:
Te: 0.000 0.000 0.000 x1
Pt: 0.000 0.000 0.500 x3
F: 0.500 0.500 0.500 x1

* density: 9.84 g cm⁻³
* E_form (uncorrected): 837 meV/atom

Entry from Alexandria via LeMat-Bulk: a geometry-optimized LaCr2Mo structure (PBE).

Lattice parameters (Å, degrees): 4.691 4.691 3.186 90.00 90.00 90.00
Space group P4/mmm (No. 123)
Asymmetric unit:
La: 0.000 0.000 0.000 x1
Cr: 0.000 0.500 0.500 x2
Mo: 0.500 0.500 0.000 x1

* density: 8.02 g cm⁻³

Entry from Alexandria via LeMat-Bulk: a geometry-optimized Tl3NiH structure (PBE).

Lattice parameters (Å, degrees): 4.748 4.748 4.748 90.00 90.00 90.00
Space group Pm-3m (No. 221)
Asymmetric unit:
Tl: 0.000 0.000 0.500 x3
Ni: 0.500 0.500 0.500 x1
H: 0.000 0.000 0.000 x1

* density: 10.44 g cm⁻³

Entry from Alexandria via LeMat-Bulk: a geometry-optimized CaSi2Ir structure (PBE).

Lattice parameters (Å, degrees): 3.1701 3.1701 24.8270 90.00 90.00 120.00
Space group R3m (No. 160, hexagonal axes)
Asymmetric unit:
Ca: 0.0000 0.0000 0.0000 x3
Si: 0.0000 0.0000 0.2322 x3
Si: 0.0000 0.0000 0.4951 x3
Ir: 0.0000 0.0000 0.7627 x3

* density: 6.65 g cm⁻³
* E_form (uncorrected): 80 meV/atom

Entry from Alexandria via LeMat-Bulk: a geometry-optimized La2GeAs3Ir4 structure (PBE).

Lattice parameters (Å, degrees): 4.294 4.294 10.281 90.00 90.00 90.00
Space group P-4m2 (No. 115)
Asymmetric unit:
La: 0.000 0.500 0.247 x2
Ge: 0.500 0.500 0.000 x1
As: 0.000 0.000 0.000 x1
As: 0.000 0.500 0.637 x2
Ir: 0.000 0.000 0.500 x1
Ir: 0.000 0.500 0.876 x2
Ir: 0.500 0.500 0.500 x1

* density: 11.78 g cm⁻³

Number 1: E_tot -0.4982 Ry/atom. Number 2: E_tot -0.4414 Ry/atom. Number 3: E_tot -0.3155 Ry/atom. Number 4: E_tot -0.2834 Ry/atom. Number 5: E_tot -0.6374 Ry/atom. Number 6: E_tot -0.2733 Ry/atom. Number 7: E_tot -0.3814 Ry/atom. Number 8: E_tot -0.2946 Ry/atom. Number 9: E_tot -0.4133 Ry/atom. Number 10: E_tot -0.6064 Ry/atom. Number 11: E_tot -0.2645 Ry/atom. Number 12: E_tot -0.4644 Ry/atom. Number 13: E_tot -0.2992 Ry/atom. Number 14: E_tot -0.5199 Ry/atom. Number 15: E_tot -0.2786 Ry/atom. Number 16: E_tot -0.5874 Ry/atom. Number 17: E_tot -0.1967 Ry/atom. Number 18: E_tot -0.3930 Ry/atom. Number 19: E_tot -0.5279 Ry/atom.